No. 1
# CsLiAu10 (PBE, optimized geometry)
# **Energy of formation**: -149 meV/atom
# **Crystal system**: orthorhombic
# **VASP energy**: -3.11 eV/atom
data_CsLiAu10
_chemical_formula_sum 'Cs1 Li1 Au10'
_symmetry_space_group_name_H-M 'P m m m'
_symmetry_Int_Tables_number 47
_cell_length_a 4.747
_cell_length_b 5.644
_cell_length_c 9.909
_cell_angle_alpha 90.00
_cell_angle_beta 90.00
_cell_angle_gamma 90.00
loop_
_symmetry_equiv_pos_as_xyz
'x,y,z'
'-x,-y,-z'
'-x,-y,z'
'x,y,-z'
'x,-y,-z'
'-x,y,z'
'-x,y,-z'
'x,-y,z'
loop_
_atom_site_label
_atom_site_type_symbol
_atom_site_fract_x
_atom_site_fract_y
_atom_site_fract_z
Cs1 Cs 0.000 0.000 0.000
Li1 Li 0.000 0.500 0.500
Au1 Au 0.000 0.000 0.348
Au2 Au 0.000 0.500 0.218
Au3 Au 0.500 0.000 0.500
Au4 Au 0.500 0.251 0.256
Au5 Au 0.500 0.500 0.000



No. 2
# Hg2SCl (PBE, optimized geometry)
# **Crystal system**: tetragonal
# **VASP energy**: -1.80 eV/atom
# **Distance to the lowest polymorph of the same formula**: 0.534 eV per formula unit
data_Hg2SCl
_chemical_formula_sum 'Hg8 S4 Cl4'
_symmetry_space_group_name_H-M 'I -4 2 d'
_symmetry_Int_Tables_number 122
_symmetry_space_group_name_Hall 'I -4 2bw'
_cell_length_a 6.148
_cell_length_b 6.148
_cell_length_c 13.437
_cell_angle_alpha 90.00
_cell_angle_beta 90.00
_cell_angle_gamma 90.00
loop_
_atom_site_label
_atom_site_type_symbol
_atom_site_fract_x
_atom_site_fract_y
_atom_site_fract_z
Hg1 Hg 0.201 0.250 0.125
S1 S 0.000 0.000 0.000
Cl1 Cl 0.000 0.000 0.500



No. 3
# La2YAg (PBE, optimized geometry)
# **Energy of formation**: -126 meV/atom
# **Crystal system**: monoclinic
# **VASP energy**: -4.92 eV/atom
# **Distance to the lowest polymorph of the same formula**: 0.000 eV per formula unit
data_La2YAg
_chemical_formula_sum 'La8 Y4 Ag4'
_symmetry_space_group_name_H-M 'C 1 2/m 1'
_symmetry_Int_Tables_number 12
_cell_length_a 7.511
_cell_length_b 7.516
_cell_length_c 9.488
_cell_angle_alpha 90.00
_cell_angle_beta 113.31
_cell_angle_gamma 90.00
loop_
_symmetry_equiv_pos_as_xyz
'x,y,z'
'-x,-y,-z'
'-x,y,-z'
'x,-y,z'
'x+1/2,y+1/2,z'
'-x+1/2,-y+1/2,-z'
'-x+1/2,y+1/2,-z'
'x+1/2,-y+1/2,z'
loop_
_atom_site_label
_atom_site_type_symbol
_atom_site_fract_x
_atom_site_fract_y
_atom_site_fract_z
La1 La 0.138 0.000 0.274
La2 La 0.250 0.250 0.000
Y1 Y 0.152 0.500 0.306
Ag1 Ag 0.000 0.249 0.500



> Look up the VASP energy of the first one.

-3.11 eV/atom